Record 1
A geometry-optimized LaSi2Tc2 structure, computed with PBE.

The energy relative to the lowest polymorph listed for this composition comes out at 0.01 eV per formula unit.

It has space group I4/mmm (No. 139), with a = 4.2108 Å, b = 4.2108 Å, c = 10.3532 Å, α = 90.00°, β = 90.00° and γ = 90.00°. The asymmetric unit holds La at (0.0000, 0.0000, 0.0000), Si at (0.0000, 0.0000, 0.3705) and Tc at (0.0000, 0.5000, 0.2500).



Record 2
A geometry-optimized LaThSi structure, computed with PBE.

The energy relative to the lowest polymorph listed for this composition comes out at 0.00 eV per formula unit.

It has space group F-43m (No. 216), with a = 7.0937 Å, b = 7.0937 Å, c = 7.0937 Å, α = 90.00°, β = 90.00° and γ = 90.00°. The asymmetric unit holds La at (0.0000, 0.0000, 0.0000), Th at (0.0000, 0.0000, 0.5000) and Si at (0.2500, 0.2500, 0.2500).



Record 3
A geometry-optimized La2Zn2Si3 structure, computed with PBE.

Its energy is -4.451 eV per atom.

It has space group R3m (No. 160, hexagonal axes), with a = 4.2556 Å, b = 4.2556 Å, c = 29.7177 Å, α = 90.00°, β = 90.00° and γ = 120.00°. The asymmetric unit holds La at (0.0000, 0.0000, 0.0000), La at (0.0000, 0.0000, 0.4956), Zn at (0.0000, 0.0000, 0.2454), Zn at (0.0000, 0.0000, 0.7451), Si at (0.0000, 0.0000, 0.3951), Si at (0.0000, 0.0000, 0.6006) and Si at (0.0000, 0.0000, 0.8928).



Record 4
A geometry-optimized La2ZrSi2 structure, computed with PBE.

Its energy is -6.440 eV per atom.

It has space group P4/mbm (No. 127), with a = 7.4409 Å, b = 7.4409 Å, c = 4.5151 Å, α = 90.00°, β = 90.00° and γ = 90.00°. The asymmetric unit holds La at (0.1778, 0.3222, 0.0000), Zr at (0.0000, 0.0000, 0.5000) and Si at (0.1213, 0.6213, 0.5000).



Record 5
A geometry-optimized LaSm2 structure, computed with PBE.

For the formation energy, the calculation gives 235.7 meV per atom. The energy relative to the lowest polymorph listed for this composition comes out at 0.00 eV per formula unit.

It has space group Fd-3m (No. 227, origin choice 2), with a = 9.5344 Å, b = 9.5344 Å, c = 9.5344 Å, α = 90.00°, β = 90.00° and γ = 90.00°. The asymmetric unit holds La at (0.1250, 0.1250, 0.1250) and Sm at (0.0000, 0.0000, 0.5000).



Record 6
A geometry-optimized LaSm structure, computed with PBE.

For the formation energy, the calculation gives 596.6 meV per atom. The energy relative to the lowest polymorph listed for this composition comes out at 1.13 eV per formula unit.

It has space group Fm-3m (No. 225), with a = 6.6170 Å, b = 6.6170 Å, c = 6.6170 Å, α = 90.00°, β = 90.00° and γ = 90.00°. The asymmetric unit holds La at (0.0000, 0.0000, 0.0000) and Sm at (0.0000, 0.0000, 0.5000).



Record 7
A geometry-optimized LaSm2 structure, computed with PBE.

For the formation energy, the calculation gives 2107.7 meV per atom. The energy relative to the lowest polymorph listed for this composition comes out at 5.62 eV per formula unit.

It has space group Fd-3m (No. 227, origin choice 2), with a = 12.8388 Å, b = 12.8388 Å, c = 12.8388 Å, α = 90.00°, β = 90.00° and γ = 90.00°. The asymmetric unit holds La at (0.1250, 0.1250, 0.1250) and Sm at (0.0000, 0.0000, 0.0000).



Record 8
A geometry-optimized LaSm structure, computed with PBE.

For the formation energy, the calculation gives 30.9 meV per atom. The energy relative to the lowest polymorph listed for this composition comes out at 0.00 eV per formula unit.

It has space group P-6m2 (No. 187), with a = 3.7116 Å, b = 3.7116 Å, c = 6.0015 Å, α = 90.00°, β = 90.00° and γ = 120.00°. The asymmetric unit holds La at (0.0000, 0.0000, 0.0000) and Sm at (0.6667, 0.3333, 0.5000).



Record 9
A geometry-optimized LaSm structure, computed with PBE.

For the formation energy, the calculation gives 1362.4 meV per atom. The energy relative to the lowest polymorph listed for this composition comes out at 2.66 eV per formula unit.

It has space group F-43m (No. 216), with a = 6.5465 Å, b = 6.5465 Å, c = 6.5465 Å, α = 90.00°, β = 90.00° and γ = 90.00°. The asymmetric unit holds La at (0.0000, 0.0000, 0.0000) and Sm at (0.2500, 0.2500, 0.7500).



Record 10
A geometry-optimized La2Sm2Sn structure, computed with PBE.

Its energy is -4.857 eV per atom.

It has space group C2/m (No. 12), with a = 5.9163 Å, b = 15.1940 Å, c = 7.5680 Å, α = 90.00°, β = 90.40° and γ = 90.00°. The asymmetric unit holds La at (0.0068, 0.1142, 0.2482), Sm at (0.0000, 0.3183, 0.5000), Sm at (0.0000, 0.3202, 0.0000) and Sn at (0.0097, 0.5000, 0.2557).



Record 11
A geometry-optimized La2SmSn7 structure, computed with PBE.

Its energy is -4.877 eV per atom.

It has space group Cmmm (No. 65), with a = 4.5830 Å, b = 26.1420 Å, c = 4.6884 Å, α = 90.00°, β = 90.00° and γ = 90.00°. The asymmetric unit holds La at (0.0000, 0.1847, 0.0000), Sm at (0.0000, 0.0000, 0.0000), Sn at (0.0000, 0.0942, 0.5000), Sn at (0.0000, 0.2890, 0.5000), Sn at (0.0000, 0.4069, 0.0000) and Sn at (0.0000, 0.5000, 0.5000).



Record 12
A geometry-optimized LaSmSn structure, computed with PBE.

The energy relative to the lowest polymorph listed for this composition comes out at 0.00 eV per formula unit.

It has space group P6_3/mmc (No. 194), with a = 5.3721 Å, b = 5.3721 Å, c = 15.2230 Å, α = 90.00°, β = 90.00° and γ = 120.00°. The asymmetric unit holds La at (0.0000, 0.0000, 0.0000), La at (0.0000, 0.0000, 0.2500), Sm at (0.3333, 0.6667, 0.1060) and Sn at (0.3333, 0.6667, 0.6181).



Record 13
A geometry-optimized LaSmSn structure, computed with PBE.

The energy relative to the lowest polymorph listed for this composition comes out at 0.16 eV per formula unit.

It has space group F-43m (No. 216), with a = 7.5336 Å, b = 7.5336 Å, c = 7.5336 Å, α = 90.00°, β = 90.00° and γ = 90.00°. The asymmetric unit holds La at (0.0000, 0.0000, 0.0000), Sm at (0.0000, 0.0000, 0.5000) and Sn at (0.2500, 0.2500, 0.2500).



Record 14
A geometry-optimized LaSmTa structure, computed with PBE.

For the formation energy, the calculation gives 1252.2 meV per atom.

It has space group F-43m (No. 216), with a = 7.1777 Å, b = 7.1777 Å, c = 7.1777 Å, α = 90.00°, β = 90.00° and γ = 90.00°. The asymmetric unit holds La at (0.0000, 0.0000, 0.0000), Sm at (0.2500, 0.2500, 0.2500) and Ta at (0.0000, 0.0000, 0.5000).



Record 15
A geometry-optimized LaTb2Sm3 structure, computed with PBE.

For the formation energy, the calculation gives 262.8 meV per atom.

It has space group P6/mmm (No. 191), with a = 6.6075 Å, b = 6.6075 Å, c = 5.7964 Å, α = 90.00°, β = 90.00° and γ = 120.00°. The asymmetric unit holds La at (0.0000, 0.0000, 0.0000), Tb at (0.3333, 0.6667, 0.0000) and Sm at (0.0000, 0.5000, 0.5000).



Record 16
A geometry-optimized LaSm2Tc structure, computed with PBE.

For the formation energy, the calculation gives -33.5 meV per atom.

It has space group Cmcm (No. 63), with a = 3.9994 Å, b = 12.3370 Å, c = 9.5560 Å, α = 90.00°, β = 90.00° and γ = 90.00°. The asymmetric unit holds La at (0.0000, 0.0809, 0.2500), Sm at (0.0000, 0.3524, 0.0730) and Tc at (0.0000, 0.2652, 0.7500).



Record 17
A geometry-optimized LaSm2Te3 structure, computed with PBE.

Its energy is -5.421 eV per atom.

It has space group P-3m1 (No. 164), with a = 4.4849 Å, b = 4.4849 Å, c = 11.0222 Å, α = 90.00°, β = 90.00° and γ = 120.00°. The asymmetric unit holds La at (0.0000, 0.0000, 0.0000), Sm at (0.3333, 0.6667, 0.6633), Te at (0.0000, 0.0000, 0.5000) and Te at (0.3333, 0.6667, 0.1749).



Record 18
A geometry-optimized La2SmTe3 structure, computed with PBE.

Its energy is -5.527 eV per atom.

It has space group P-3m1 (No. 164), with a = 4.5332 Å, b = 4.5332 Å, c = 11.1291 Å, α = 90.00°, β = 90.00° and γ = 120.00°. The asymmetric unit holds La at (0.3333, 0.6667, 0.1703), Sm at (0.0000, 0.0000, 0.5000), Te at (0.0000, 0.0000, 0.0000) and Te at (0.3333, 0.6667, 0.6588).



Record 19
A geometry-optimized LaSmTe structure, computed with PBE.

The energy relative to the lowest polymorph listed for this composition comes out at 0.00 eV per formula unit.

It has space group F-43m (No. 216), with a = 7.4304 Å, b = 7.4304 Å, c = 7.4304 Å, α = 90.00°, β = 90.00° and γ = 90.00°. The asymmetric unit holds La at (0.0000, 0.0000, 0.0000), Sm at (0.0000, 0.0000, 0.5000) and Te at (0.2500, 0.2500, 0.2500).



Record 20
A geometry-optimized LaSmTh structure, computed with PBE.

For the formation energy, the calculation gives 751.3 meV per atom. The energy relative to the lowest polymorph listed for this composition comes out at 0.00 eV per formula unit.

It has space group F-43m (No. 216), with a = 7.7240 Å, b = 7.7240 Å, c = 7.7240 Å, α = 90.00°, β = 90.00° and γ = 90.00°. The asymmetric unit holds La at (0.0000, 0.0000, 0.0000), Sm at (0.2500, 0.2500, 0.2500) and Th at (0.0000, 0.0000, 0.5000).